Here is HfV3Mo after structural relaxation from Alexandria via LeMat-Bulk. Energies are from PBE.

Summary:
Energy of formation in meV/atom: 1873
Calculated total energy in eV per atom: -7.7548

Cell lengths 4.5370, 4.5370, 4.5370 Å; angles 90.00, 90.00, 90.00 degrees
Closest atoms and distances in Å follow each position.
Fractional positions:
Mo1 0.5000 0.5000 0.5000  12 V 3.21
Hf1 0.0000 0.0000 0.0000  6 V 2.27
V1 0.0000 0.5000 0.0000  2 Hf 2.27
V2 0.0000 0.0000 0.5000  2 Hf 2.27
V3 0.5000 0.0000 0.0000  2 Hf 2.27